First-principles (meta-GGA SCAN) data for a crystal of CuOsPd2 relaxed with PBEsol, as listed in Alexandria.

## Properties
Mass density   13.85 g/cm3
Uncorrected energy   -150.76 eV/cell
Space-group type   Fm-3m
Volume   55.9 Å³ per cell

Unit cell a=4.2930 b=4.2930 c=4.2930 alpha=60.00 beta=60.00 gamma=60.00
With the nearest neighbours (Å) after each atom.
Element x y z (fractional)
Os (0.5000, 0.5000, 0.5000)  8 Pd 2.63
Pd (0.7500, 0.7500, 0.7500)  4 Cu 2.63, 4 Os 2.63
Cu (0.0000, 0.0000, 0.0000)  8 Pd 2.63
Pd (0.2500, 0.2500, 0.2500)  4 Os 2.63, 4 Cu 2.63



First-principles (meta-GGA SCAN) data for a crystal of Cu2OsPd relaxed with PBEsol, as listed in Alexandria.

## Properties
Mass density   13.67 g/cm3
Uncorrected energy   -133.36 eV/cell
Space-group type   Fm-3m
Volume   51.5 Å³ per cell

Unit cell a=4.1757 b=4.1757 c=4.1757 alpha=60.00 beta=60.00 gamma=60.00
With the nearest neighbours (Å) after each atom.
Element x y z (fractional)
Pd (0.0000, 0.0000, 0.0000)  8 Cu 2.56
Os (0.5000, 0.5000, 0.5000)  8 Cu 2.56
Cu (0.2500, 0.2500, 0.2500)  4 Pd 2.56, 4 Os 2.56
Cu (0.7500, 0.7500, 0.7500)  4 Os 2.56, 4 Pd 2.56